[1]
Below is a relaxed structure of LiSnF, with properties calculated at the PBE-GGA level.

Cell: 4.1795 4.1790 12.2535 Å, 90.00 99.09 90.00°
Atoms (fractional coordinates):
Li  0.2134  0.0000  0.4205
Li  0.2866  0.5000  0.5795
Li  0.7134  0.5000  0.4205
Li  0.7866  0.0000  0.5795
Sn  0.0721  0.5000  0.1242
Sn  0.4279  0.0000  0.8758
Sn  0.5721  0.0000  0.1242
Sn  0.9279  0.5000  0.8758
F  0.2109  0.5000  0.4149
F  0.2891  0.0000  0.5851
F  0.7109  0.0000  0.4149
F  0.7891  0.5000  0.5851

Space-group type   C2/m (12)
Excess energy over the best structure of this formula in the dataset   0.0 meV per atom

[2]
Below is a relaxed structure of BePAu, with properties calculated at the PBE-GGA level.

Cell: 3.7207 5.0763 5.7979 Å, 105.07 103.40 103.59°
Atoms (fractional coordinates):
Be  0.0000  0.0000  0.0000
Be  0.4319  0.4517  0.1850
P  0.5051  0.1294  0.8752
P  0.9891  0.6525  0.1509
Au  0.3460  0.1729  0.4554
Au  0.9630  0.6739  0.5994

Space-group type   P1 (1)
ΔE_f   -3 kJ/mol of atoms

[3]
Below is a relaxed structure of Sr2Zn2P3, with properties calculated at the PBE-GGA level.

Cell: 8.2417 8.2417 11.6997 Å, 125.12 125.12 29.32°
Atoms (fractional coordinates):
Sr  0.1090  0.1090  0.4520
Sr  0.2306  0.2306  0.8340
Sr  0.7694  0.7694  0.1660
Sr  0.8910  0.8910  0.5480
Zn  0.0890  0.0890  0.1491
Zn  0.4614  0.4614  0.1850
Zn  0.5386  0.5386  0.8150
Zn  0.9110  0.9110  0.8509
P  0.1087  0.1087  0.9563
P  0.3512  0.3512  0.7086
P  0.4311  0.4311  0.3830
P  0.5689  0.5689  0.6170
P  0.6488  0.6488  0.2914
P  0.8913  0.8913  0.0437

Space-group type   C2/m (12)
ΔE_f   -76 kJ/mol of atoms

[4]
Below is a relaxed structure of P2RhCl, with properties calculated at the PBE-GGA level.

Cell: 3.1112 3.1112 7.0427 Å, 90.00 90.00 90.00°
Atoms (fractional coordinates):
P  0.0000  0.0000  0.0000
P  0.5000  0.5000  0.1588
Rh  0.0000  0.0000  0.3387
Cl  0.5000  0.5000  0.5949

Space-group type   P4mm (99)
Excess energy over the best structure of this formula in the dataset   237.3 meV per atom

[5]
Below is a relaxed structure of K5Mn, with properties calculated at the PBE-GGA level.

Cell: 7.5742 7.5742 6.9074 Å, 90.00 90.00 120.00°
Atoms (fractional coordinates):
K  0.0000  0.6951  0.0000
K  0.3049  0.3049  0.0000
K  0.3333  0.6667  0.5000
K  0.6667  0.3333  0.5000
K  0.6951  0.0000  0.0000
Mn  0.0000  0.0000  0.5000

Space-group type   P-62m (189)
Excess energy over the best structure of this formula in the dataset   24.5 meV per atom
ΔE_f   43 kJ/mol of atoms

[6]
Below is a relaxed structure of CsLiTmCl6, with properties calculated at the PBE-GGA level.

Cell: 6.7793 6.7793 7.8697 Å, 90.15 90.15 120.74°
Atoms (fractional coordinates):
Cs  0.0000  0.0000  0.0000
Li  0.3360  0.6640  0.5000
Tm  0.6659  0.3341  0.5000
Cl  0.0042  0.6171  0.6961
Cl  0.3829  0.9958  0.3039
Cl  0.3854  0.3849  0.6953
Cl  0.6151  0.6146  0.3047
Cl  0.6165  0.0017  0.6955
Cl  0.9983  0.3835  0.3045

Space-group type   C2 (5)

[7]
Below is a relaxed structure of TmPaPb2O6, with properties calculated at the PBE-GGA level.

Cell: 6.0535 6.0535 6.2097 Å, 120.41 120.41 60.60°
Atoms (fractional coordinates):
Tm  0.0000  0.0000  0.0000
Pa  0.5000  0.5000  0.5000
Pb  0.2518  0.2518  0.7908
Pb  0.7482  0.7482  0.2092
O  0.1886  0.6867  0.1886
O  0.2573  0.2573  0.3492
O  0.3133  0.8114  0.8114
O  0.6867  0.1886  0.1886
O  0.7427  0.7427  0.6508
O  0.8114  0.3133  0.8114

Space-group type   C2/m (12)

[8]
Below is a relaxed structure of LiTi2TlSe, with properties calculated at the PBE-GGA level.

Cell: 4.6763 4.6763 4.5364 Å, 90.00 90.00 90.00°
Atoms (fractional coordinates):
Li  0.0000  0.0000  0.0000
Ti  0.0000  0.5000  0.0000
Ti  0.5000  0.0000  0.0000
Tl  0.0000  0.0000  0.5000
Se  0.5000  0.5000  0.5000

Space-group type   P4/mmm (123)

Number 1: E_tot -52.9 eV per cell. Number 2: E_tot -25.0 eV per cell. Number 3: E_tot -55.3 eV per cell. Number 4: E_tot -19.7 eV per cell. Number 5: E_tot -12.0 eV per cell. Number 6: E_tot -34.3 eV per cell. Number 7: E_tot -77.2 eV per cell. Number 8: E_tot -20.5 eV per cell.